1.
# TlGeRu2

Crystalline TlGeRu2 at its relaxed geometry (PBE-GGA, Alexandria).

Lattice parameters (Å, degrees): 4.499 4.499 4.499 60.00 60.00 60.00
Positions (direct):
Tl: 0.500 0.500 0.500
Ru: 0.750 0.750 0.750
Ru: 0.250 0.250 0.250
Ge: 0.000 0.000 0.000

## Properties
* space group: Fm-3m, No. 225
* VASP energy: -6.0865 eV per atom
* energy above the most stable polymorph in this dataset: 0.0 meV/atom

***

2.
# TlGeRu3

Crystalline TlGeRu3 at its relaxed geometry (PBE-GGA, Alexandria).

Lattice parameters (Å, degrees): 5.002 5.002 5.002 90.00 90.00 90.00
Site moments in Bohr magnetons follow the coordinates.
Positions (direct):
Ru: 0.500 0.000 0.000  1.57
Ru: 0.000 0.500 0.000  1.95
Ru: 0.000 0.000 0.500  2.09
Ge: 0.500 0.500 0.500  -0.06
Tl: 0.000 0.000 0.000  -0.05

## Properties
* space group: Pm-3m, No. 221
* VASP energy: -4.6898 eV per atom
* energy above the most stable polymorph in this dataset: 1342.0 meV/atom

***

3.
# TlGeRu3

Crystalline TlGeRu3 at its relaxed geometry (PBE-GGA, Alexandria).

Lattice parameters (Å, degrees): 4.566 4.566 4.566 90.00 90.00 90.00
Site moments in Bohr magnetons follow the coordinates.
Positions (direct):
Ge: 0.000 0.000 0.000  -0.03
Ru: 0.000 0.000 0.500  0.65
Ru: 0.500 0.000 0.000  0.46
Ru: 0.000 0.500 0.000  0.49
Tl: 0.500 0.500 0.500  -0.01

## Properties
* space group: Pm-3m, No. 221
* VASP energy: -6.0318 eV per atom
* energy above the most stable polymorph in this dataset: 0.0 meV/atom

***

no.,formation energy from the elements (eV/atom)
1,0.30
2,2.27
3,0.93